VASP calculation (PBE) on a relaxed Ga5Hg3Bi12 crystal.

Cell lengths 15.2430, 15.2430, 15.2430 Å; angles 109.47, 109.47, 109.47 degrees
With the nearest neighbours (Å) after each atom.
Atoms (fractional coordinates):
1 Ga 0.0000 0.0000 0.0000  6 Bi 2.94
2 Ga 0.0000 0.0000 0.5000  6 Bi 2.94
3 Ga 0.0000 0.5000 0.0000  6 Bi 2.94
4 Ga 0.0000 0.5000 0.5000  6 Bi 2.94
5 Ga 0.1250 0.7500 0.8750  4 Bi 2.82
6 Ga 0.1250 0.8750 0.2500  4 Bi 2.82
7 Ga 0.2500 0.1250 0.8750  4 Bi 2.82
8 Ga 0.2500 0.6250 0.3750  4 Bi 2.82
9 Ga 0.3750 0.2500 0.6250  4 Bi 2.82
10 Ga 0.3750 0.6250 0.7500  4 Bi 2.82
11 Ga 0.5000 0.0000 0.0000  6 Bi 2.94
12 Ga 0.5000 0.0000 0.5000  6 Bi 2.94
13 Ga 0.5000 0.5000 0.0000  6 Bi 2.94
14 Ga 0.5000 0.5000 0.5000  6 Bi 2.94
15 Ga 0.6250 0.3750 0.2500  4 Bi 2.82
16 Ga 0.6250 0.7500 0.3750  4 Bi 2.82
17 Ga 0.7500 0.3750 0.6250  4 Bi 2.82
18 Ga 0.7500 0.8750 0.1250  4 Bi 2.82
19 Ga 0.8750 0.1250 0.7500  4 Bi 2.82
20 Ga 0.8750 0.2500 0.1250  4 Bi 2.82
21 Hg 0.1250 0.2500 0.3750  4 Bi 3.06
22 Hg 0.1250 0.3750 0.7500  4 Bi 3.06
23 Hg 0.2500 0.3750 0.1250  4 Bi 3.06
24 Hg 0.2500 0.8750 0.6250  4 Bi 3.06
25 Hg 0.3750 0.1250 0.2500  4 Bi 3.06
26 Hg 0.3750 0.7500 0.1250  4 Bi 3.06
27 Hg 0.6250 0.2500 0.8750  4 Bi 3.06
28 Hg 0.6250 0.8750 0.7500  4 Bi 3.06
29 Hg 0.7500 0.1250 0.3750  4 Bi 3.06
30 Hg 0.7500 0.6250 0.8750  4 Bi 3.06
31 Hg 0.8750 0.6250 0.2500  4 Bi 3.06
32 Hg 0.8750 0.7500 0.6250  4 Bi 3.06
33 Bi 0.0385 0.2211 0.0953  2 Ga 2.82-2.94, 1 Hg 3.06, 1 Bi 3.13
34 Bi 0.0385 0.3174 0.9432  2 Ga 2.82-2.94, 1 Hg 3.06, 1 Bi 3.13
35 Bi 0.0568 0.5953 0.3742  2 Ga 2.82-2.94, 1 Hg 3.06, 1 Bi 3.13
36 Bi 0.0568 0.9615 0.6826  2 Ga 2.82-2.94, 1 Hg 3.06, 1 Bi 3.13
37 Bi 0.0953 0.0385 0.2211  2 Ga 2.82-2.94, 1 Hg 3.06, 1 Bi 3.13
38 Bi 0.0953 0.5568 0.8742  2 Ga 2.82-2.94, 1 Hg 3.06, 1 Bi 3.13
39 Bi 0.1258 0.7211 0.6826  2 Ga 2.82-2.94, 1 Hg 3.06, 1 Bi 3.13
40 Bi 0.1258 0.9047 0.4432  2 Ga 2.82-2.94, 1 Hg 3.06, 1 Bi 3.13
41 Bi 0.1826 0.2211 0.6258  2 Ga 2.82-2.94, 1 Hg 3.06, 1 Bi 3.13
42 Bi 0.1826 0.4615 0.5568  2 Ga 2.82-2.94, 1 Hg 3.06, 1 Bi 3.13
43 Bi 0.2211 0.0953 0.0385  2 Ga 2.82-2.94, 1 Hg 3.06, 1 Bi 3.13
44 Bi 0.2211 0.6258 0.1826  2 Ga 2.82-2.94, 1 Hg 3.06, 1 Bi 3.13
45 Bi 0.2789 0.3174 0.8742  2 Ga 2.82-2.94, 1 Hg 3.06, 1 Bi 3.13
46 Bi 0.2789 0.4615 0.4047  2 Ga 2.82-2.94, 1 Hg 3.06, 1 Bi 3.13
47 Bi 0.3174 0.8742 0.2789  2 Ga 2.82-2.94, 1 Hg 3.06, 1 Bi 3.13
48 Bi 0.3174 0.9432 0.0385  2 Ga 2.82-2.94, 1 Hg 3.06, 1 Bi 3.13
49 Bi 0.3742 0.0568 0.5953  2 Ga 2.82-2.94, 1 Hg 3.06, 1 Bi 3.13
50 Bi 0.3742 0.8174 0.7789  2 Ga 2.82-2.94, 1 Hg 3.06, 1 Bi 3.13
51 Bi 0.4047 0.2789 0.4615  2 Ga 2.82-2.94, 1 Hg 3.06, 1 Bi 3.13
52 Bi 0.4047 0.6258 0.9432  2 Ga 2.82-2.94, 1 Hg 3.06, 1 Bi 3.13
53 Bi 0.4432 0.1258 0.9047  2 Ga 2.82-2.94, 1 Hg 3.06, 1 Bi 3.13
54 Bi 0.4432 0.8174 0.5385  2 Ga 2.82-2.94, 1 Hg 3.06, 1 Bi 3.13
55 Bi 0.4615 0.4047 0.2789  2 Ga 2.82-2.94, 1 Hg 3.06, 1 Bi 3.13
56 Bi 0.4615 0.5568 0.1826  2 Ga 2.82-2.94, 1 Hg 3.06, 1 Bi 3.13
57 Bi 0.5385 0.4432 0.8174  2 Ga 2.82-2.94, 1 Hg 3.06, 1 Bi 3.13
58 Bi 0.5385 0.5953 0.7211  2 Ga 2.82-2.94, 1 Hg 3.06, 1 Bi 3.13
59 Bi 0.5568 0.1826 0.4615  2 Ga 2.82-2.94, 1 Hg 3.06, 1 Bi 3.13
60 Bi 0.5568 0.8742 0.0953  2 Ga 2.82-2.94, 1 Hg 3.06, 1 Bi 3.13
61 Bi 0.5953 0.3742 0.0568  2 Ga 2.82-2.94, 1 Hg 3.06, 1 Bi 3.13
62 Bi 0.5953 0.7211 0.5385  2 Ga 2.82-2.94, 1 Hg 3.06, 1 Bi 3.13
63 Bi 0.6258 0.1826 0.2211  2 Ga 2.82-2.94, 1 Hg 3.06, 1 Bi 3.13
64 Bi 0.6258 0.9432 0.4047  2 Ga 2.82-2.94, 1 Hg 3.06, 1 Bi 3.13
65 Bi 0.6826 0.0568 0.9615  2 Ga 2.82-2.94, 1 Hg 3.06, 1 Bi 3.13
66 Bi 0.6826 0.1258 0.7211  2 Ga 2.82-2.94, 1 Hg 3.06, 1 Bi 3.13
67 Bi 0.7211 0.5385 0.5953  2 Ga 2.82-2.94, 1 Hg 3.06, 1 Bi 3.13
68 Bi 0.7211 0.6826 0.1258  2 Ga 2.82-2.94, 1 Hg 3.06, 1 Bi 3.13
69 Bi 0.7789 0.3742 0.8174  2 Ga 2.82-2.94, 1 Hg 3.06, 1 Bi 3.13
70 Bi 0.7789 0.9047 0.9615  2 Ga 2.82-2.94, 1 Hg 3.06, 1 Bi 3.13
71 Bi 0.8174 0.5385 0.4432  2 Ga 2.82-2.94, 1 Hg 3.06, 1 Bi 3.13
72 Bi 0.8174 0.7789 0.3742  2 Ga 2.82-2.94, 1 Hg 3.06, 1 Bi 3.13
73 Bi 0.8742 0.0953 0.5568  2 Ga 2.82-2.94, 1 Hg 3.06, 1 Bi 3.13
74 Bi 0.8742 0.2789 0.3174  2 Ga 2.82-2.94, 1 Hg 3.06, 1 Bi 3.13
75 Bi 0.9047 0.4432 0.1258  2 Ga 2.82-2.94, 1 Hg 3.06, 1 Bi 3.13
76 Bi 0.9047 0.9615 0.7789  2 Ga 2.82-2.94, 1 Hg 3.06, 1 Bi 3.13
77 Bi 0.9432 0.0385 0.3174  2 Ga 2.82-2.94, 1 Hg 3.06, 1 Bi 3.13
78 Bi 0.9432 0.4047 0.6258  2 Ga 2.82-2.94, 1 Hg 3.06, 1 Bi 3.13
79 Bi 0.9615 0.6826 0.0568  2 Ga 2.82-2.94, 1 Hg 3.06, 1 Bi 3.13
80 Bi 0.9615 0.7789 0.9047  2 Ga 2.82-2.94, 1 Hg 3.06, 1 Bi 3.13

Summary:
- Spin magnetization: 0.00 μB/cell
- D(E_F): 36.7 states/eV/cell
- ΔE_f: 4.65 kcal/mol of atoms

---

VASP calculation (PBE) on a relaxed GaHgBi crystal.

Cell lengths 4.9216, 4.9216, 4.9216 Å; angles 60.00, 60.00, 60.00 degrees
With the nearest neighbours (Å) after each atom.
Atoms (fractional coordinates):
1 Ga 0.0000 0.0000 0.0000  4 Hg 3.01, 4 Bi 3.01
2 Hg 0.7500 0.7500 0.7500  4 Ga 3.01
3 Bi 0.2500 0.2500 0.2500  4 Ga 3.01

Summary:
- Spin magnetization: 0.00 μB/cell
- D(E_F): 1.5 states/eV/cell
- ΔE_f: 1.85 kcal/mol of atoms
- ΔE to the lowest computed polymorph: 25.2 meV per atom

---

VASP calculation (PBE) on a relaxed GaHgBi crystal.

Cell lengths 3.4556, 3.4556, 7.6754 Å; angles 90.00, 90.00, 120.00 degrees
With the nearest neighbours (Å) after each atom.
Atoms (fractional coordinates):
1 Ga 0.0000 0.0000 0.0000  3 Hg 3.03, 3 Bi 3.25
2 Hg 0.3333 0.6667 0.7033  3 Ga 3.03
3 Bi 0.6667 0.3333 0.3344  3 Ga 3.25, 6 Bi 3.46, 3 Hg 3.46

Summary:
- Spin magnetization: 0.00 μB/cell
- D(E_F): 1.6 states/eV/cell
- ΔE_f: 2.47 kcal/mol of atoms
- ΔE to the lowest computed polymorph: 51.8 meV per atom

---

VASP calculation (PBE) on a relaxed Ga3Hg3Bi crystal.

Cell lengths 7.5530, 7.5530, 7.5530 Å; angles 90.00, 90.00, 90.00 degrees
With the nearest neighbours (Å) after each atom.
Atoms (fractional coordinates):
1 Ga 0.0000 0.2500 0.5000  4 Hg 2.67
2 Ga 0.0000 0.7500 0.5000  4 Hg 2.67
3 Ga 0.2500 0.5000 0.0000  4 Hg 2.67
4 Ga 0.5000 0.0000 0.2500  4 Hg 2.67
5 Ga 0.5000 0.0000 0.7500  4 Hg 2.67
6 Ga 0.7500 0.5000 0.0000  4 Hg 2.67
7 Hg 0.0000 0.5000 0.2500  4 Ga 2.67
8 Hg 0.0000 0.5000 0.7500  4 Ga 2.67
9 Hg 0.2500 0.0000 0.5000  4 Ga 2.67
10 Hg 0.5000 0.2500 0.0000  4 Ga 2.67
11 Hg 0.5000 0.7500 0.0000  4 Ga 2.67
12 Hg 0.7500 0.0000 0.5000  4 Ga 2.67
13 Bi 0.0000 0.0000 0.0000  12 Hg 4.22, 12 Ga 4.22
14 Bi 0.5000 0.5000 0.5000  12 Hg 4.22, 12 Ga 4.22

Summary:
- Spin magnetization: 0.00 μB/cell
- D(E_F): 5.1 states/eV/cell
- ΔE_f: 8.38 kcal/mol of atoms

---

Copy entry 3 word for word.
VASP calculation (PBE) on a relaxed GaHgBi crystal.

Cell lengths 3.4556, 3.4556, 7.6754 Å; angles 90.00, 90.00, 120.00 degrees
With the nearest neighbours (Å) after each atom.
Atoms (fractional coordinates):
1 Ga 0.0000 0.0000 0.0000  3 Hg 3.03, 3 Bi 3.25
2 Hg 0.3333 0.6667 0.7033  3 Ga 3.03
3 Bi 0.6667 0.3333 0.3344  3 Ga 3.25, 6 Bi 3.46, 3 Hg 3.46

Summary:
- Spin magnetization: 0.00 μB/cell
- D(E_F): 1.6 states/eV/cell
- ΔE_f: 2.47 kcal/mol of atoms
- ΔE to the lowest computed polymorph: 51.8 meV per atom